A plane-wave DFT calculation with PBE was carried out for a relaxed structure of Pm8Tl3CSe3.

## Properties
Raw formation energy, eV per atom: -0.872
Total energy, eV/f.u.: -77.865
Calculated volume, Å³/atom: 30.466

Cell lengths 8.1560, 8.1581, 9.2243 Å; angles 116.26, 89.99, 119.99 degrees
Fractional positions:
Pm 0.7727 0.9839 0.6950
Pm 0.2273 0.0161 0.3050
Pm 0.2111 0.9840 0.6950
Pm 0.7404 0.4808 0.7211
Pm 0.2596 0.5192 0.2789
Pm 0.7889 0.0160 0.3050
Pm 0.2111 0.4222 0.6948
Pm 0.7889 0.5778 0.3052
Tl 0.5000 0.5000 0.0000
Tl 0.0000 0.0000 0.0000
Tl 0.0000 0.5000 0.0000
Se 0.0000 0.5000 0.5000
Se 0.5000 0.5000 0.5000
Se 0.5000 0.0000 0.5000
C 0.0000 0.0000 0.5000